Below is an optimized crystal structure of Rb2CaHg6, with properties calculated at the PBE level.

Unit cell a=6.579 b=7.281 c=7.281 alpha=120.00 beta=90.00 gamma=90.00
Positions (direct):
Rb 0.342 0.667 0.333
Rb 0.658 0.333 0.667
Ca 0.500 0.000 0.000
Hg 0.835 0.817 0.635
Hg 0.835 0.817 0.183
Hg 0.165 0.635 0.817
Hg 0.835 0.365 0.183
Hg 0.165 0.183 0.817
Hg 0.165 0.183 0.365

Results
E_tot: -0.03250 Ha/atom
space group: P-3m1 (164)
size of the total moment: 0.00 μB per formula unit
energy of formation from the pure elements: -0.246 eV/atom



Below is an optimized crystal structure of RbCaHg2, with properties calculated at the PBE level.

Unit cell a=4.329 b=4.329 c=9.636 alpha=77.02 beta=77.02 gamma=60.00
Positions (direct):
Rb 0.500 0.500 0.501
Ca 0.667 0.667 0.999
Hg 0.070 0.070 0.789
Hg 0.263 0.263 0.211

Results
E_tot: -0.04085 Ha/atom
space group: R3m (160)
size of the total moment: 0.00 μB per formula unit
energy of formation from the pure elements: -0.218 eV/atom



Below is an optimized crystal structure of RbCaHg2, with properties calculated at the PBE level.

Unit cell a=3.947 b=3.947 c=8.698 alpha=90.00 beta=90.00 gamma=90.00
Positions (direct):
Ca 0.500 0.500 0.000
Hg 0.000 0.000 0.804
Hg 0.000 0.000 0.196
Rb 0.500 0.500 0.500

Results
E_tot: -0.04418 Ha/atom
space group: P4/mmm (123)
size of the total moment: 0.00 μB per formula unit
energy of formation from the pure elements: -0.309 eV/atom



Below is an optimized crystal structure of RbCaHg6, with properties calculated at the PBE level.

Unit cell a=5.360 b=5.972 c=7.346 alpha=90.00 beta=90.00 gamma=90.00
Positions (direct):
Rb 0.000 0.661 0.000
Ca 0.500 0.368 0.500
Hg 0.500 0.853 0.286
Hg 0.000 0.173 0.720
Hg 0.000 0.173 0.280
Hg 0.500 0.853 0.714
Hg 0.000 0.677 0.500
Hg 0.500 0.242 0.000

Results
E_tot: -0.03156 Ha/atom
space group: Pmm2 (25)
size of the total moment: 0.00 μB per formula unit
energy of formation from the pure elements: -0.261 eV/atom



Below is an optimized crystal structure of RbCa2Hg, with properties calculated at the PBE level.

Unit cell a=3.904 b=3.904 c=11.009 alpha=90.00 beta=90.00 gamma=90.00
Positions (direct):
Ca 0.000 0.000 0.838
Ca 0.000 0.000 0.162
Hg 0.500 0.500 0.000
Rb 0.500 0.500 0.500

Results
E_tot: -0.05509 Ha/atom
space group: P4/mmm (123)
size of the total moment: 0.00 μB per formula unit
energy of formation from the pure elements: -0.181 eV/atom



Below is an optimized crystal structure of RbCa2Hg, with properties calculated at the PBE level.

Unit cell a=7.563 b=7.563 c=10.572 alpha=69.04 beta=69.04 gamma=90.00
Positions (direct):
Ca 0.874 0.125 0.250
Ca 0.876 0.625 0.250
Ca 0.375 0.126 0.750
Ca 0.875 0.124 0.750
Hg 0.000 0.000 0.000
Hg 0.750 0.250 0.500
Rb 0.500 0.500 0.000
Rb 0.250 0.750 0.500

Results
E_tot: -0.04172 Ha/atom
space group: I-42d (122)
size of the total moment: 0.00 μB per formula unit
energy of formation from the pure elements: 0.183 eV/atom



Below is an optimized crystal structure of RbCa3Hg, with properties calculated at the PBE level.

Unit cell a=7.203 b=7.203 c=7.203 alpha=90.00 beta=90.00 gamma=90.00
Positions (direct):
Ca 0.000 0.500 0.000
Ca 0.000 0.000 0.500
Ca 0.500 0.000 0.000
Hg 0.500 0.500 0.500
Rb 0.000 0.000 0.000

Results
E_tot: -0.01957 Ha/atom
space group: Pm-3m (221)
size of the total moment: 0.00 μB per formula unit
energy of formation from the pure elements: 0.922 eV/atom



Below is an optimized crystal structure of RbCa3Hg, with properties calculated at the PBE level.

Unit cell a=6.116 b=6.116 c=6.116 alpha=90.00 beta=90.00 gamma=90.00
Positions (direct):
Ca 0.000 0.500 0.000
Ca 0.000 0.000 0.500
Ca 0.500 0.000 0.000
Hg 0.000 0.000 0.000
Rb 0.500 0.500 0.500

Results
E_tot: -0.05683 Ha/atom
space group: Pm-3m (221)
size of the total moment: 0.00 μB per formula unit
energy of formation from the pure elements: -0.092 eV/atom



Below is an optimized crystal structure of RbCaHg2, with properties calculated at the PBE level.

Unit cell a=4.360 b=4.360 c=9.557 alpha=76.81 beta=76.81 gamma=60.00
Positions (direct):
Ca 0.000 0.000 0.000
Hg 0.737 0.737 0.790
Hg 0.263 0.263 0.210
Rb 0.500 0.500 0.500

Results
E_tot: -0.04094 Ha/atom
space group: R-3m (166)
size of the total moment: 0.00 μB per formula unit
energy of formation from the pure elements: -0.221 eV/atom



Below is an optimized crystal structure of Rb2Ca2Hg, with properties calculated at the PBE level.

Unit cell a=8.315 b=8.315 c=7.417 alpha=90.00 beta=90.00 gamma=90.00
Positions (direct):
Ca 0.332 0.832 0.000
Ca 0.832 0.668 0.000
Ca 0.668 0.168 0.000
Ca 0.168 0.332 0.000
Hg 0.000 0.000 0.000
Hg 0.500 0.500 0.000
Rb 0.180 0.680 0.500
Rb 0.680 0.820 0.500
Rb 0.820 0.320 0.500
Rb 0.320 0.180 0.500

Results
E_tot: -0.04522 Ha/atom
space group: P4/mbm (127)
size of the total moment: 0.00 μB per formula unit
energy of formation from the pure elements: 0.017 eV/atom



Below is an optimized crystal structure of RbCa2Hg, with properties calculated at the PBE level.

Unit cell a=4.178 b=4.178 c=12.511 alpha=80.39 beta=80.39 gamma=60.00
Positions (direct):
Ca 0.112 0.112 0.663
Ca 0.888 0.888 0.337
Hg 0.500 0.500 0.500
Rb 0.000 0.000 0.000

Results
E_tot: -0.05176 Ha/atom
space group: R-3m (166)
size of the total moment: 0.00 μB per formula unit
energy of formation from the pure elements: -0.090 eV/atom



Below is an optimized crystal structure of RbCa2ReHg, with properties calculated at the PBE level.

Unit cell a=5.513 b=6.238 c=5.513 alpha=90.00 beta=90.00 gamma=90.00
Positions (direct):
Re 0.000 0.000 0.000
Ca 0.000 0.000 0.500
Ca 0.500 0.000 0.000
Hg 0.500 0.500 0.500
Rb 0.000 0.500 0.000

Results
E_tot: -0.09627 Ha/atom
space group: P4/mmm (123)
size of the total moment: 0.00 μB per formula unit
energy of formation from the pure elements: 0.924 eV/atom



energy of formation from the pure elements of number 2 (RbCaHg2)?
-0.218 eV/atom



What is the formula in the tenth record?
Rb2Ca2Hg